First-principles (PBE-GGA) data for a relaxed structure of GaCuPd2Pt, as listed in Alexandria.

The space group is P4/mmm (No. 123) and the conventional cell measures 4.560, 4.560 and 4.350 Å, with angles of 90.00, 90.00 and 90.00 degrees. The distinct sites, in fractional coordinates, are Ga at (0.000, 0.000, 0.000), Cu at (0.000, 0.000, 0.500), Pd at (0.000, 0.500, 0.500) and Pt at (0.500, 0.500, 0.000).

The final energy comes out at -0.3032 Ry/atom. The formation energy is 0.5842 eV/atom. The size of the total moment is 0.00 μB per formula unit. The calculated volume is 18.1 Å³/atom.

***

First-principles (PBE-GGA) data for a relaxed structure of LiLaMgCo, as listed in Alexandria.

The space group is F-43m (No. 216) and the conventional cell measures 6.838, 6.838 and 6.838 Å, with angles of 90.00, 90.00 and 90.00 degrees. The distinct sites, in fractional coordinates, are Li at (0.000, 0.000, 0.000), La at (0.250, 0.250, 0.750), Mg at (0.250, 0.250, 0.250) and Co at (0.000, 0.000, 0.500).

The final energy comes out at -0.2808 Ry/atom. The formation energy is 0.0650 eV/atom. The size of the total moment is 0.00 μB per formula unit. The calculated volume is 20.0 Å³/atom.

***

First-principles (PBE-GGA) data for a relaxed structure of SbHI2N, as listed in Alexandria.

The space group is P4/mmm (No. 123) and the conventional cell measures 5.482, 5.482 and 4.338 Å, with angles of 90.00, 90.00 and 90.00 degrees. The distinct sites, in fractional coordinates, are Sb at (0.000, 0.000, 0.000), H at (0.500, 0.500, 0.000), I at (0.000, 0.500, 0.500) and N at (0.000, 0.000, 0.500).

The final energy comes out at -0.1919 Ry/atom. For the energy above the most stable polymorph in this dataset, the calculation gives 0.75 eV per formula unit. The size of the total moment is 1.00 μB per formula unit. The calculated volume is 26.1 Å³/atom.

***

First-principles (PBE-GGA) data for a relaxed structure of BaEr4S6, as listed in Alexandria.

The space group is Cmcm (No. 63) and the conventional cell measures 3.958, 12.908 and 20.307 Å, with angles of 90.00, 90.00 and 90.00 degrees. The distinct sites, in fractional coordinates, are Ba at (0.000, 0.158, 0.250), Er at (0.000, 0.096, 0.626), Er at (0.000, 0.363, 0.539), S at (0.000, 0.000, 0.000), S at (0.000, 0.159, 0.750), S at (0.000, 0.268, 0.085) and S at (0.000, 0.462, 0.655).

The final energy comes out at -0.4511 Ry/atom. The formation energy without anion corrections is -2.052 eV/atom. The size of the total moment is 0.00 μB per formula unit. The calculated volume is 23.6 Å³/atom.

***

First-principles (PBE-GGA) data for a relaxed structure of Co2AgRh, as listed in Alexandria.

The space group is C2/m (No. 12) and the conventional cell measures 8.748, 2.718 and 4.743 Å, with angles of 90.00, 100.23 and 90.00 degrees. The distinct sites, in fractional coordinates, are Co at (0.244, 0.000, 0.217), Ag at (0.000, 0.000, 0.500) and Rh at (0.000, 0.500, 0.000).

The final energy comes out at -0.4256 Ry/atom. The formation energy is 0.3128 eV/atom. The size of the total moment is 4.49 μB per formula unit. The calculated volume is 13.9 Å³/atom.

***

First-principles (PBE-GGA) data for a relaxed structure of InIrRu2, as listed in Alexandria.

The space group is P4mm (No. 99) and the conventional cell measures 2.840, 2.840 and 7.723 Å, with angles of 90.00, 90.00 and 90.00 degrees. The distinct sites, in fractional coordinates, are In at (0.000, 0.000, 0.000), Ir at (0.500, 0.500, 0.271), Ru at (0.000, 0.000, 0.509) and Ru at (0.500, 0.500, 0.730).

The final energy comes out at -0.5466 Ry/atom. The formation energy is 0.1009 eV/atom. The size of the total moment is 0.00 μB per formula unit. The calculated volume is 15.6 Å³/atom.

***

First-principles (PBE-GGA) data for a relaxed structure of PuPa2B, as listed in Alexandria.

The space group is R-3m (No. 166, hexagonal axes) and the conventional cell measures 3.3932, 3.3932 and 26.7665 Å, with angles of 90.00, 90.00 and 120.00 degrees. The distinct sites, in fractional coordinates, are Pu at (0.0000, 0.0000, 0.0000), Pa at (0.0000, 0.0000, 0.1098) and B at (0.0000, 0.0000, 0.5000).

The final energy comes out at -0.7210 Ry/atom. The formation energy is 0.1906 eV/atom. The size of the total moment is 5.66 μB per formula unit. The calculated volume is 22.2 Å³/atom.

***

First-principles (PBE-GGA) data for a relaxed structure of NpTlSbAu, as listed in Alexandria.

The space group is F-43m (No. 216) and the conventional cell measures 7.417, 7.417 and 7.417 Å, with angles of 90.00, 90.00 and 90.00 degrees. The distinct sites, in fractional coordinates, are Np at (0.000, 0.000, 0.000), Tl at (0.000, 0.000, 0.500), Sb at (0.250, 0.250, 0.750) and Au at (0.250, 0.250, 0.250).

The final energy comes out at -0.4156 Ry/atom. The formation energy without anion corrections is 0.022 eV/atom. The size of the total moment is 4.09 μB per formula unit. The calculated volume is 25.5 Å³/atom.

***

> Which of these has the highest final energy?

SbHI2N